w | NbSb2Mo | PBE | optimized geometry

Cell and atoms, written as extended XYZ:
```
4
Lattice="0.000 3.373 3.373 3.373 0.000 3.373 3.373 3.373 0.000" Properties=species:S:1:pos:R:3 pbc="T T T"
Sb 1.687 1.687 1.687
Mo 3.373 3.373 3.373
Nb 0.000 0.000 0.000
Sb 5.060 5.060 5.060
```

Output
spin magnetization: 0.962 Bohr magnetons per cell
crystal system: cubic

=====

x | NbSb2Mo | PBE | optimized geometry

Cell and atoms, written as extended XYZ:
```
8
Lattice="4.211 0.000 0.000 0.000 4.211 0.000 2.106 2.106 9.737" Properties=species:S:1:pos:R:3 pbc="T T T"
Sb 3.183 1.053 2.434
Sb 5.264 5.289 7.303
Nb 2.106 2.106 0.000
Mo 0.000 0.000 0.000
Mo 4.211 2.106 4.868
Sb 1.028 3.158 2.434
Nb 2.106 4.211 4.868
Sb 3.158 3.134 7.303
```

Output
spin magnetization: 0.000 Bohr magnetons per cell
crystal system: tetragonal

=====

y | NbSb2Mo | PBE | optimized geometry

Cell and atoms, written as extended XYZ:
```
4
Lattice="-0.347 2.742 1.590 -2.854 1.417 0.131 -3.173 -3.612 8.733" Properties=species:S:1:pos:R:3 pbc="T T T"
Mo -3.187 0.273 5.227
Nb 0.000 0.000 0.000
Sb -2.564 -2.167 6.374
Sb -3.810 2.714 4.081
```

Output
spin magnetization: 0.001 Bohr magnetons per cell
crystal system: trigonal

=====

Least stable structure among those shown: x.